VASP calculation (PBE) on a relaxed structure of SrHf2CdBi.

Structure (CIF):
```
data_SrHf2CdBi
_chemical_formula_sum 'Sr1 Hf2 Cd1 Bi1'
_cell_length_a 5.287
_cell_length_b 5.287
_cell_length_c 5.842
_cell_angle_alpha 90.00
_cell_angle_beta 90.00
_cell_angle_gamma 90.00
_symmetry_space_group_name_H-M 'P 4/m m m'
_symmetry_Int_Tables_number 123
_symmetry_space_group_name_Hall '-P 4 2'
loop_
_atom_site_label
_atom_site_type_symbol
_atom_site_fract_x
_atom_site_fract_y
_atom_site_fract_z
_atom_site_occupancy
Sr1 Sr 0.000 0.000 0.000 1
Hf1 Hf 0.000 0.500 0.500 1
Cd1 Cd 0.000 0.000 0.500 1
Bi1 Bi 0.500 0.500 0.000 1
```


VASP calculation (PBE) on a relaxed structure of YHfCd2Bi.

Structure (CIF):
```
data_YHfCd2Bi
_chemical_formula_sum 'Y1 Hf1 Cd2 Bi1'
_cell_length_a 5.483
_cell_length_b 5.483
_cell_length_c 5.794
_cell_angle_alpha 90.00
_cell_angle_beta 90.00
_cell_angle_gamma 90.00
_symmetry_space_group_name_H-M 'P 4/m m m'
_symmetry_Int_Tables_number 123
_symmetry_space_group_name_Hall '-P 4 2'
loop_
_atom_site_label
_atom_site_type_symbol
_atom_site_fract_x
_atom_site_fract_y
_atom_site_fract_z
_atom_site_occupancy
Y1 Y 0.000 0.000 0.000 1
Hf1 Hf 0.500 0.500 0.000 1
Cd1 Cd 0.000 0.500 0.500 1
Bi1 Bi 0.000 0.000 0.500 1
```


no.,total magnetic moment (μB/f.u.),ΔE_f (meV per atom),volume (Å³/atom)
1,0.00,724,32.7
2,1.76,958,34.8